1.
# PBE KAl2Ir, optimized geometry
data_KAl2Ir
_chemical_formula_sum 'K1 Al2 Ir1'
_space_group_name_H-M_alt 'P 1'
_space_group_IT_number 1
_cell_length_a 5.745
_cell_length_b 5.838
_cell_length_c 2.695
_cell_angle_alpha 80.28
_cell_angle_beta 82.77
_cell_angle_gamma 117.58
loop_
_space_group_symop_operation_xyz
'x,y,z'
loop_
_atom_site_label
_atom_site_type_symbol
_atom_site_fract_x
_atom_site_fract_y
_atom_site_fract_z
Al1 Al 0.500 0.000 0.500
Al2 Al 0.000 0.000 0.000
K1 K 0.500 0.500 0.000
Ir1 Ir 0.000 0.500 0.500
# * SG: C2/m, No. 12
# * volume: 19.193 A^3/atom
# * E_form: 570 meV/atom

=====

2.
# PBE Si2Ag3, optimized geometry
data_Si2Ag3
_chemical_formula_sum 'Si4 Ag6'
_space_group_name_H-M_alt 'P 1'
_space_group_IT_number 1
_cell_length_a 8.614
_cell_length_b 6.541
_cell_length_c 6.524
_cell_angle_alpha 82.50
_cell_angle_beta 48.84
_cell_angle_gamma 48.66
loop_
_space_group_symop_operation_xyz
'x,y,z'
loop_
_atom_site_label
_atom_site_type_symbol
_atom_site_fract_x
_atom_site_fract_y
_atom_site_fract_z
Ag1 Ag 0.829 0.447 0.853
Ag2 Ag 0.803 0.421 0.379
Ag3 Ag 0.129 0.871 0.871
Ag4 Ag 0.397 0.379 0.421
Ag5 Ag 0.379 0.121 0.121
Ag6 Ag 0.871 0.853 0.447
Si1 Si 0.833 0.745 0.084
Si2 Si 0.505 0.417 0.913
Si3 Si 0.166 0.913 0.417
Si4 Si 0.337 0.084 0.745
# * ΔE_f (raw): 26.4 kJ/mol of atoms
# * SG: Fdd2, No. 43
# * volume: 17.516 A^3/atom

=====

3.
# PBE VZnH, optimized geometry
data_VZnH
_chemical_formula_sum 'V2 Zn2 H2'
_space_group_name_H-M_alt 'P 1'
_space_group_IT_number 1
_cell_length_a 9.937
_cell_length_b 4.867
_cell_length_c 4.867
_cell_angle_alpha 148.00
_cell_angle_beta 147.02
_cell_angle_gamma 32.98
loop_
_space_group_symop_operation_xyz
'x,y,z'
loop_
_atom_site_label
_atom_site_type_symbol
_atom_site_fract_x
_atom_site_fract_y
_atom_site_fract_z
V1 V 0.891 0.722 0.278
V2 V 0.109 0.278 0.722
Zn1 Zn 0.385 0.731 0.269
Zn2 Zn 0.615 0.269 0.731
H1 H 0.835 0.396 0.604
H2 H 0.165 0.604 0.396
# * SG: C2/m, No. 12
# * volume: 10.151 A^3/atom
# * DFT total energy: -4.6181 eV per atom

=====

4.
# PBE KTeBr, optimized geometry
data_KTeBr
_chemical_formula_sum 'K1 Te1 Br1'
_space_group_name_H-M_alt 'P 1'
_space_group_IT_number 1
_cell_length_a 5.685
_cell_length_b 5.685
_cell_length_c 3.534
_cell_angle_alpha 90.00
_cell_angle_beta 90.00
_cell_angle_gamma 120.00
loop_
_space_group_symop_operation_xyz
'x,y,z'
loop_
_atom_site_label
_atom_site_type_symbol
_atom_site_fract_x
_atom_site_fract_y
_atom_site_fract_z
Br1 Br 0.000 0.000 0.832
Te1 Te 0.333 0.667 0.833
K1 K 0.667 0.333 0.334
# * ΔE_f (raw): -51.1 kJ/mol of atoms
# * SG: P3m1, No. 156
# * volume: 32.968 A^3/atom

=====

5.
# PBE GaAgIrI2, optimized geometry
data_GaAgIrI2
_chemical_formula_sum 'Ga1 Ag1 Ir1 I2'
_space_group_name_H-M_alt 'P 1'
_space_group_IT_number 1
_cell_length_a 5.386
_cell_length_b 5.229
_cell_length_c 5.386
_cell_angle_alpha 90.00
_cell_angle_beta 90.00
_cell_angle_gamma 90.00
loop_
_space_group_symop_operation_xyz
'x,y,z'
loop_
_atom_site_label
_atom_site_type_symbol
_atom_site_fract_x
_atom_site_fract_y
_atom_site_fract_z
I1 I 0.000 0.000 0.500
I2 I 0.500 0.000 0.000
Ag1 Ag 0.000 0.500 0.000
Ir1 Ir 0.000 0.000 0.000
Ga1 Ga 0.500 0.500 0.500
# * ΔE_f (raw): 43.7 kJ/mol of atoms
# * SG: P4/mmm, No. 123
# * volume: 30.336 A^3/atom

=====

6.
# PBE LiAl, optimized geometry
data_LiAl
_chemical_formula_sum 'Li2 Al2'
_space_group_name_H-M_alt 'P 1'
_space_group_IT_number 1
_cell_length_a 4.592
_cell_length_b 4.592
_cell_length_c 5.073
_cell_angle_alpha 90.00
_cell_angle_beta 90.00
_cell_angle_gamma 120.00
loop_
_space_group_symop_operation_xyz
'x,y,z'
loop_
_atom_site_label
_atom_site_type_symbol
_atom_site_fract_x
_atom_site_fract_y
_atom_site_fract_z
Al1 Al 0.667 0.333 0.250
Al2 Al 0.333 0.667 0.750
Li1 Li 0.667 0.333 0.750
Li2 Li 0.333 0.667 0.250
# * SG: P6_3/mmc, No. 194
# * volume: 23.159 A^3/atom
# * E_form: 575 meV/atom

=====

7.
# PBE NaThPd6, optimized geometry
data_NaThPd6
_chemical_formula_sum 'Na1 Th1 Pd6'
_space_group_name_H-M_alt 'P 1'
_space_group_IT_number 1
_cell_length_a 4.216
_cell_length_b 4.216
_cell_length_c 7.943
_cell_angle_alpha 90.00
_cell_angle_beta 90.00
_cell_angle_gamma 90.00
loop_
_space_group_symop_operation_xyz
'x,y,z'
loop_
_atom_site_label
_atom_site_type_symbol
_atom_site_fract_x
_atom_site_fract_y
_atom_site_fract_z
Pd1 Pd 0.500 0.000 0.246
Pd2 Pd 0.500 0.000 0.754
Pd3 Pd 0.500 0.500 0.000
Pd4 Pd 0.000 0.500 0.754
Pd5 Pd 0.500 0.500 0.500
Pd6 Pd 0.000 0.500 0.246
Na1 Na 0.000 0.000 0.000
Th1 Th 0.000 0.000 0.500
# * SG: P4/mmm, No. 123
# * volume: 17.650 A^3/atom
# * E_form: -531 meV/atom

=====

8.
# PBE Ti4Co3Pt, optimized geometry
data_Ti4Co3Pt
_chemical_formula_sum 'Ti4 Co3 Pt1'
_space_group_name_H-M_alt 'P 1'
_space_group_IT_number 1
_cell_length_a 4.292
_cell_length_b 4.292
_cell_length_c 7.419
_cell_angle_alpha 73.18
_cell_angle_beta 73.18
_cell_angle_gamma 60.00
loop_
_space_group_symop_operation_xyz
'x,y,z'
loop_
_atom_site_label
_atom_site_type_symbol
_atom_site_fract_x
_atom_site_fract_y
_atom_site_fract_z
Co1 Co 0.500 0.500 0.500
Co2 Co 0.749 0.749 0.752
Co3 Co 0.251 0.251 0.248
Ti1 Ti 0.870 0.870 0.389
Ti2 Ti 0.381 0.381 0.858
Ti3 Ti 0.130 0.130 0.611
Ti4 Ti 0.619 0.619 0.142
Pt1 Pt 0.000 0.000 0.000
# * SG: R-3m, No. 166
# * volume: 13.947 A^3/atom
# * E_form: -481 meV/atom

=====

9.
# PBE TlZn2Si2, optimized geometry
data_TlZn2Si2
_chemical_formula_sum 'Tl1 Zn2 Si2'
_space_group_name_H-M_alt 'P 1'
_space_group_IT_number 1
_cell_length_a 4.336
_cell_length_b 4.336
_cell_length_c 6.041
_cell_angle_alpha 68.97
_cell_angle_beta 68.97
_cell_angle_gamma 90.00
loop_
_space_group_symop_operation_xyz
'x,y,z'
loop_
_atom_site_label
_atom_site_type_symbol
_atom_site_fract_x
_atom_site_fract_y
_atom_site_fract_z
Zn1 Zn 0.750 0.250 0.500
Zn2 Zn 0.250 0.750 0.500
Tl1 Tl 0.000 0.000 0.000
Si1 Si 0.386 0.386 0.228
Si2 Si 0.614 0.614 0.772
# * ΔE_f (raw): 18.7 kJ/mol of atoms
# * SG: I4/mmm, No. 139
# * volume: 19.571 A^3/atom